# 1
Density functional theory data (PBE-GGA) for crystalline PmHo2Er6Sc3 at its relaxed geometry.

a = 6.0130 Å, b = 10.4071 Å, c = 11.4273 Å
α = 90.00°, β = 100.08°, γ = 90.00°
Space group C2/m (No. 12)
Inequivalent atoms, fractional coordinates:
1 Pm 0.0000 0.0000 0.0000 (multiplicity 2)
2 Ho 0.0000 0.3334 0.0000 (multiplicity 4)
3 Er 0.2464 0.3332 0.7403 (multiplicity 8)
4 Er 0.2470 0.0000 0.7403 (multiplicity 4)
5 Sc 0.0000 0.1669 0.5000 (multiplicity 4)
6 Sc 0.0000 0.5000 0.5000 (multiplicity 2)

Output
**Formation enthalpy at 0 K**: 0.0438 eV/atom

# 2
Density functional theory data (PBE-GGA) for crystalline SmZr2N3 at its relaxed geometry.

a = 3.3773 Å, b = 3.3773 Å, c = 14.2189 Å
α = 90.00°, β = 90.00°, γ = 90.00°
Space group I4/mmm (No. 139)
Inequivalent atoms, fractional coordinates:
1 Sm 0.0000 0.0000 0.0000 (multiplicity 2)
2 Zr 0.0000 0.0000 0.3319 (multiplicity 4)
3 N 0.0000 0.0000 0.1736 (multiplicity 4)
4 N 0.0000 0.0000 0.5000 (multiplicity 2)

Output
**E_form (uncorrected)**: -900 kJ/mol of formula units

# 3
Density functional theory data (PBE-GGA) for crystalline CePd2Pt3 at its relaxed geometry.

a = 5.8003 Å, b = 5.8003 Å, c = 21.3013 Å
α = 90.00°, β = 90.00°, γ = 120.00°
Space group R-3m (No. 166, hexagonal axes)
Inequivalent atoms, fractional coordinates:
1 Ce 0.0000 0.0000 0.2227 (multiplicity 6)
2 Pd 0.0000 0.0000 0.0000 (multiplicity 3)
3 Pd 0.0000 0.5000 0.0000 (multiplicity 9)
4 Pt 0.0044 0.5022 0.2243 (multiplicity 18)

Output
**Formation enthalpy at 0 K**: -0.6389 eV/atom